Density functional theory data (PBE+U) for a relaxed MoRuAu2O crystal.

Summary:
Total magnetization   0.000 μB/atom
E   -3.473 eV/atom

Unit cell a=5.067 b=4.609 c=5.067 alpha=90.00 beta=90.00 gamma=90.00
Element x y z (fractional)
Au 0.000 0.000 0.500
Au 0.500 0.000 0.000
Ru 0.000 0.500 0.000
O 0.500 0.500 0.500
Mo 0.000 0.000 0.000